No. 1
A plane-wave DFT calculation with PBE was carried out for a relaxed structure of Cu5Ag4.

Cell lengths 7.156, 7.156, 8.032 Å; angles 122.77, 122.77, 22.40 degrees
Atoms (fractional coordinates):
Cu 0.886 0.886 0.336
Cu 0.441 0.441 0.660
Cu 0.338 0.338 0.013
Cu 0.992 0.992 0.981
Cu 0.234 0.234 0.346
Ag 0.104 0.104 0.664
Ag 0.783 0.783 0.673
Ag 0.553 0.553 0.312
Ag 0.668 0.668 0.017

## Properties
energy relative to the elements = 0.10 eV per atom
energy above the most stable polymorph in this dataset = 59 meV per atom



No. 2
A plane-wave DFT calculation with PBE was carried out for a relaxed structure of AcGe2Pd2.

Cell lengths 6.068, 6.068, 6.068 Å; angles 136.08, 136.08, 63.85 degrees
Atoms (fractional coordinates):
Ac 0.000 0.000 0.000
Ge 0.250 0.750 0.500
Ge 0.750 0.250 0.500
Pd 0.365 0.365 0.000
Pd 0.635 0.635 0.000

## Properties
energy above the most stable polymorph in this dataset = 93 meV per atom



No. 3
A plane-wave DFT calculation with PBE was carried out for a relaxed structure of LuAgPO.

Cell lengths 3.615, 7.580, 5.753 Å; angles 90.00, 90.00, 90.00 degrees
Atoms (fractional coordinates):
P 0.000 0.338 0.438
P 0.000 0.662 0.938
O 0.500 0.171 0.938
O 0.500 0.829 0.438
Ag 0.500 0.875 0.940
Ag 0.500 0.125 0.440
Lu 0.000 0.701 0.438
Lu 0.000 0.299 0.938

## Properties
energy above the most stable polymorph in this dataset = 297 meV per atom



No. 4
A plane-wave DFT calculation with PBE was carried out for a relaxed structure of BaZnSnS4.

Cell lengths 12.572, 12.572, 12.809 Å; angles 104.78, 104.78, 118.70 degrees
Atoms (fractional coordinates):
S 0.790 0.040 0.088
S 0.452 0.704 0.913
S 0.690 0.784 0.253
S 0.520 0.966 0.252
S 0.792 0.541 0.586
S 0.455 0.205 0.912
S 0.715 0.268 0.748
S 0.065 0.468 0.248
S 0.791 0.540 0.087
S 0.037 0.972 0.751
S 0.035 0.471 0.749
S 0.452 0.202 0.412
S 0.952 0.702 0.912
S 0.955 0.705 0.412
S 0.293 0.543 0.088
S 0.531 0.437 0.747
S 0.716 0.770 0.752
S 0.221 0.285 0.249
S 0.454 0.702 0.413
S 0.293 0.543 0.588
S 0.722 0.287 0.251
S 0.790 0.040 0.588
S 0.187 0.781 0.247
S 0.534 0.940 0.753
S 0.567 0.470 0.252
S 0.290 0.041 0.587
S 0.218 0.315 0.748
S 0.291 0.042 0.086
S 0.954 0.206 0.414
S 0.018 0.965 0.248
S 0.956 0.204 0.914
S 0.220 0.817 0.752
Sn 0.404 0.264 0.250
Sn 0.510 0.235 0.749
Sn 0.512 0.736 0.751
Sn 0.014 0.154 0.750
Sn 0.904 0.264 0.250
Sn 0.985 0.760 0.249
Sn 0.014 0.654 0.750
Sn 0.486 0.762 0.251
Ba 0.500 0.500 0.000
Ba 0.747 0.247 0.500
Ba 0.751 0.749 0.504
Ba 0.997 0.496 0.996
Ba 0.997 0.997 0.000
Ba 0.246 0.247 0.496
Ba 0.499 0.001 0.004
Ba 0.250 0.750 0.500
Zn 0.337 0.983 0.249
Zn 0.237 0.015 0.750
Zn 0.733 0.587 0.749
Zn 0.734 0.088 0.751
Zn 0.236 0.514 0.750
Zn 0.838 0.984 0.251
Zn 0.264 0.486 0.250
Zn 0.765 0.487 0.250

## Properties
E = -4.432 eV/atom



No. 5
A plane-wave DFT calculation with PBE was carried out for a relaxed structure of AlGe2W2.

Cell lengths 6.934, 6.934, 6.934 Å; angles 150.16, 150.16, 42.70 degrees
Atoms (fractional coordinates):
W 0.600 0.600 0.000
W 0.400 0.400 0.000
Ge 0.750 0.250 0.500
Ge 0.250 0.750 0.500
Al 0.000 0.000 0.000

## Properties
E = -7.398 eV/atom



No. 6
A plane-wave DFT calculation with PBE was carried out for a relaxed structure of AlCoNiHg.

Cell lengths 4.298, 4.298, 4.298 Å; angles 60.00, 60.00, 60.00 degrees
Atoms (fractional coordinates):
Hg 0.250 0.250 0.250
Co 0.750 0.750 0.750
Al 0.000 0.000 0.000
Ni 0.500 0.500 0.500

## Properties
energy above the most stable polymorph in this dataset = 159 meV per atom



No. 7
A plane-wave DFT calculation with PBE was carried out for a relaxed structure of Sr3TcN3.

Cell lengths 7.809, 7.809, 5.304 Å; angles 90.00, 90.00, 120.00 degrees
Atoms (fractional coordinates):
N 0.416 0.306 0.250
N 0.584 0.694 0.750
N 0.694 0.110 0.250
N 0.890 0.584 0.250
N 0.110 0.416 0.750
N 0.306 0.890 0.750
Tc 0.667 0.333 0.250
Tc 0.333 0.667 0.750
Sr 0.356 0.263 0.750
Sr 0.263 0.907 0.250
Sr 0.093 0.356 0.250
Sr 0.644 0.737 0.250
Sr 0.907 0.644 0.750
Sr 0.737 0.093 0.750

## Properties
E = -6.418 eV/atom



No. 8
A plane-wave DFT calculation with PBE was carried out for a relaxed structure of Dy2Lu.

Cell lengths 6.464, 6.464, 6.464 Å; angles 60.00, 60.00, 60.00 degrees
Atoms (fractional coordinates):
Dy 0.625 0.625 0.125
Dy 0.625 0.125 0.625
Dy 0.625 0.625 0.625
Dy 0.125 0.625 0.625
Lu 0.000 0.000 0.000
Lu 0.250 0.250 0.250

## Properties
energy relative to the elements = 0.26 eV per atom
energy above the most stable polymorph in this dataset = 0 meV per atom



Number 1: theoretical density 9.52 g/cm3. Number 2: theoretical density 9.16 g/cm3. Number 3: theoretical density 6.95 g/cm3. Number 4: theoretical density 3.89 g/cm3. Number 5: theoretical density 10.89 g/cm3. Number 6: theoretical density 10.21 g/cm3. Number 7: theoretical density 4.78 g/cm3. Number 8: theoretical density 8.70 g/cm3.